(1)
The following is a DFT calculation (PBE-GGA) of an optimized crystal structure of LaPu2Fe9.

Computed properties:
* space group: R-3m (166)
* formation energy: 1.546 kcal/mol of atoms
* final energy: -0.667 Ry per atom

Cell: 4.946 4.946 8.919 Å, 73.90 73.90 60.00°
Fractional positions:
La1 0.000 0.000 0.000
Pu1 0.859 0.859 0.423
Pu2 0.141 0.141 0.577
Fe1 0.668 0.668 0.995
Fe2 0.332 0.332 0.005
Fe3 0.500 0.500 0.500
Fe4 0.420 0.420 0.247
Fe5 0.914 0.420 0.247
Fe6 0.420 0.914 0.247
Fe7 0.580 0.580 0.753
Fe8 0.580 0.086 0.753
Fe9 0.086 0.580 0.753

=====

(2)
The following is a DFT calculation (PBE-GGA) of an optimized crystal structure of MgGeSbTe2.

Computed properties:
* formation energy (no corrections): 1.96 eV/f.u.
* space group: P4/mmm (123)
* final energy: -0.215 Ry per atom

Cell: 5.389 5.389 5.444 Å, 90.00 90.00 90.00°
Fractional positions:
Sb1 0.000 0.000 0.500
Ge1 0.000 0.000 0.000
Te1 0.000 0.500 0.000
Te2 0.500 0.000 0.000
Mg1 0.500 0.500 0.500

=====

(3)
The following is a DFT calculation (PBE-GGA) of an optimized crystal structure of CuSnSb.

Computed properties:
* formation energy (no corrections): 0.22 eV/f.u.
* space group: P3m1 (156)
* final energy: -0.294 Ry per atom

Cell: 4.765 4.191 4.191 Å, 120.00 90.00 90.00°
Fractional positions:
Sb1 0.231 0.333 0.667
Sn1 0.748 0.667 0.333
Cu1 0.021 0.000 0.000

=====

(4)
The following is a DFT calculation (PBE-GGA) of an optimized crystal structure of Li3Ta.

Computed properties:
* space group: Cmmm (65)
* formation energy: 10.793 kcal/mol of atoms
* final energy: -0.289 Ry per atom

Cell: 5.460 5.460 2.586 Å, 90.00 90.00 113.73°
Fractional positions:
Li1 0.000 0.500 0.500
Li2 0.500 0.000 0.500
Li3 0.500 0.500 0.000
Ta1 0.000 0.000 0.000

=====

(5)
The following is a DFT calculation (PBE-GGA) of an optimized crystal structure of Nb2B2IrRu5.

Computed properties:
* space group: P4/mbm (127)
* formation energy: -7.292 kcal/mol of atoms
* final energy: -0.675 Ry per atom

Cell: 2.918 9.555 9.555 Å, 90.00 90.00 90.00°
Fractional positions:
Nb1 0.000 0.678 0.178
Nb2 0.000 0.322 0.822
Nb3 0.000 0.178 0.322
Nb4 0.000 0.822 0.678
B1 0.000 0.120 0.620
B2 0.000 0.880 0.380
B3 0.000 0.620 0.880
B4 0.000 0.380 0.120
Ir1 0.000 0.000 0.000
Ir2 0.000 0.500 0.500
Ru1 0.500 0.222 0.072
Ru2 0.500 0.778 0.928
Ru3 0.500 0.072 0.778
Ru4 0.500 0.722 0.428
Ru5 0.500 0.928 0.222
Ru6 0.500 0.278 0.572
Ru7 0.500 0.572 0.722
Ru8 0.500 0.428 0.278
Ru9 0.500 0.500 0.000
Ru10 0.500 0.000 0.500

=====

(6)
The following is a DFT calculation (PBE-GGA) of an optimized crystal structure of ErU2Te6.

Computed properties:
* formation energy (no corrections): -4.00 eV/f.u.
* space group: I-42m (121)
* final energy: -0.408 Ry per atom

Cell: 5.717 5.717 11.576 Å, 104.30 104.30 90.00°
Fractional positions:
Er1 0.500 0.500 0.000
U1 0.189 0.189 0.377
U2 0.811 0.811 0.623
Te1 0.855 0.323 0.178
Te2 0.677 0.677 0.822
Te3 0.323 0.855 0.178
Te4 0.145 0.145 0.822
Te5 0.750 0.250 0.500
Te6 0.250 0.750 0.500

=====

no.,size of the total moment (μB per cell)
1,1.367
2,0.000
3,0.000
4,0.397
5,0.000
6,3.057